Entry from Alexandria via LeMat-Bulk: Li2CuAg3Cl6 after structural relaxation (PBE-GGA).

Unit cell a=16.766 b=3.718 c=7.848 alpha=90.00 beta=104.30 gamma=90.00
Space group C2/m (No. 12)
Symmetry-distinct sites (fractional):
1 Li 0.165 0.000 0.328 x4
2 Cu 0.000 0.500 0.000 x2
3 Ag 0.000 0.500 0.500 x2
4 Ag 0.168 0.000 0.831 x4
5 Cl 0.000 0.000 0.218 x4
6 Cl 0.165 0.500 0.556 x4
7 Cl 0.166 0.500 0.105 x4

Values from the calculation:
Calculated volume = 474.0 Å³/cell
Size of the total moment = 0.0 μB/cell
Formation energy from raw total energies = -9.98 eV/f.u.
Crystal system = monoclinic